1.
Ta4Cl5 | PBE-GGA | relaxed

Summary:
V in Å³/atom: 22.6
E in eV/atom: -6.22

a b c (Å): 7.121 7.121 9.261
angles (deg): 90.00 90.00 120.00
Positions (direct):
1 Cl 0.000 0.601 0.250
2 Cl 0.399 0.399 0.250
3 Cl 0.601 0.000 0.250
4 Cl 0.000 0.399 0.750
5 Cl 0.601 0.601 0.750
6 Cl 0.399 0.000 0.750
7 Cl 0.667 0.333 0.000
8 Cl 0.333 0.667 0.500
9 Cl 0.333 0.667 0.000
10 Cl 0.667 0.333 0.500
11 Ta 0.000 0.000 0.000
12 Ta 0.000 0.000 0.500
13 Ta 0.000 0.225 0.250
14 Ta 0.775 0.775 0.250
15 Ta 0.225 0.000 0.250
16 Ta 0.000 0.775 0.750
17 Ta 0.225 0.225 0.750
18 Ta 0.775 0.000 0.750

2.
Ta2Cl | PBE-GGA | relaxed

Summary:
V in Å³/atom: 18.0
E in eV/atom: -8.24

a b c (Å): 7.308 7.308 5.488
angles (deg): 67.08 67.08 23.67
Positions (direct):
1 Ta 0.301 0.301 0.041
2 Ta 0.424 0.424 0.382
3 Ta 0.090 0.090 0.480
4 Ta 0.750 0.750 0.576
5 Cl 0.961 0.961 0.950
6 Cl 0.642 0.642 0.072

3.
Ta2Cl | PBE-GGA | relaxed

Summary:
V in Å³/atom: 18.6
E in eV/atom: -7.98

a b c (Å): 8.340 8.340 8.340
angles (deg): 159.95 145.81 39.95
Positions (direct):
1 Ta 0.212 0.962 0.250
2 Ta 0.788 0.038 0.750
3 Ta 0.403 0.153 0.250
4 Ta 0.597 0.847 0.750
5 Cl 0.916 0.666 0.250
6 Cl 0.084 0.334 0.750

4.
Ta2Cl | PBE-GGA | relaxed

Summary:
V in Å³/atom: 17.8
E in eV/atom: -7.54

a b c (Å): 4.793 4.793 5.380
angles (deg): 90.00 90.00 120.00
Positions (direct):
1 Ta 0.000 0.000 0.000
2 Ta 0.000 0.000 0.500
3 Ta 0.333 0.667 0.250
4 Ta 0.667 0.333 0.750
5 Cl 0.667 0.333 0.250
6 Cl 0.333 0.667 0.750

These records have D(E_F) values of 5.621 2.131 2.491 2.177 states/eV/f.u., in the order they appear.
These records have formation energy from raw total energies values of 0.073 0.277 0.538 0.976 eV per atom, in the order they appear.